1.
A relaxed structure of ZrCoReBi, computed with GGA-PBE.

Unit cell a=4.650 b=4.650 c=4.650 alpha=60.00 beta=60.00 gamma=60.00
Element x y z (fractional)
Zr1 0.000 0.000 0.000
Co1 0.750 0.750 0.750
Re1 0.250 0.250 0.250
Bi1 0.500 0.500 0.500

Summary:
ΔE to the lowest computed polymorph ... 0.0 meV per atom
Space group ... No. 216

***

2.
A relaxed structure of Co2Bi8S, computed with GGA-PBE.

Unit cell a=11.150 b=11.150 c=9.517 alpha=90.00 beta=90.00 gamma=90.00
Element x y z (fractional)
Co1 0.207 0.207 0.235
Co2 0.207 0.207 0.765
Co3 0.293 0.707 0.265
Co4 0.293 0.707 0.735
Co5 0.707 0.293 0.265
Co6 0.707 0.293 0.735
Co7 0.793 0.793 0.235
Co8 0.793 0.793 0.765
Bi1 0.000 0.000 0.321
Bi2 0.000 0.000 0.679
Bi3 0.054 0.700 0.188
Bi4 0.054 0.700 0.812
Bi5 0.107 0.107 0.000
Bi6 0.181 0.181 0.500
Bi7 0.194 0.806 0.500
Bi8 0.200 0.446 0.312
Bi9 0.200 0.446 0.688
Bi10 0.300 0.946 0.188
Bi11 0.300 0.946 0.812
Bi12 0.306 0.306 0.000
Bi13 0.319 0.681 0.000
Bi14 0.393 0.607 0.500
Bi15 0.446 0.200 0.312
Bi16 0.446 0.200 0.688
Bi17 0.500 0.500 0.179
Bi18 0.500 0.500 0.821
Bi19 0.554 0.800 0.312
Bi20 0.554 0.800 0.688
Bi21 0.607 0.393 0.500
Bi22 0.681 0.319 0.000
Bi23 0.694 0.694 0.000
Bi24 0.700 0.054 0.188
Bi25 0.700 0.054 0.812
Bi26 0.800 0.554 0.312
Bi27 0.800 0.554 0.688
Bi28 0.806 0.194 0.500
Bi29 0.819 0.819 0.500
Bi30 0.893 0.893 0.000
Bi31 0.946 0.300 0.188
Bi32 0.946 0.300 0.812
S1 0.000 0.500 0.000
S2 0.000 0.500 0.500
S3 0.500 0.000 0.000
S4 0.500 0.000 0.500

Summary:
Space group ... No. 136
Total DFT energy (no corrections) ... -4.3832 eV/atom

***

3.
A relaxed structure of CoBi2S4, computed with GGA-PBE.

Unit cell a=6.306 b=6.306 c=14.480 alpha=112.93 beta=112.93 gamma=35.45
Element x y z (fractional)
Co1 0.000 0.000 0.000
Co2 0.500 0.500 0.500
Bi1 0.160 0.160 0.366
Bi2 0.201 0.201 0.857
Bi3 0.799 0.799 0.143
Bi4 0.840 0.840 0.634
S1 0.138 0.138 0.544
S2 0.145 0.145 0.158
S3 0.393 0.393 0.035
S4 0.488 0.488 0.339
S5 0.512 0.512 0.661
S6 0.607 0.607 0.965
S7 0.855 0.855 0.842
S8 0.862 0.862 0.456

Summary:
Space group ... No. 12
Total DFT energy (no corrections) ... -4.7744 eV/atom

***

4.
A relaxed structure of CoBiSb, computed with GGA-PBE.

Unit cell a=4.561 b=4.561 c=4.561 alpha=60.00 beta=60.00 gamma=60.00
Element x y z (fractional)
Co1 0.000 0.000 0.000
Bi1 0.750 0.750 0.750
Sb1 0.250 0.250 0.250

Summary:
ΔE to the lowest computed polymorph ... 0.0 meV per atom
Space group ... No. 216

***

5.
A relaxed structure of CoBi2Sb, computed with GGA-PBE.

Unit cell a=5.197 b=5.197 c=5.197 alpha=60.00 beta=60.00 gamma=60.00
Element x y z (fractional)
Co1 0.000 0.000 0.000
Bi1 0.250 0.250 0.250
Bi2 0.500 0.500 0.500
Sb1 0.750 0.750 0.750

Summary:
Space group ... No. 216
Total DFT energy (no corrections) ... -4.2233 eV/atom

***

6.
A relaxed structure of Zr3Co4Bi2Sb2, computed with GGA-PBE.

Unit cell a=7.547 b=7.547 c=7.547 alpha=132.09 beta=132.09 gamma=70.09
Element x y z (fractional)
Zr1 0.000 0.000 0.000
Zr2 0.250 0.750 0.500
Zr3 0.750 0.250 0.500
Co1 0.120 0.120 0.497
Co2 0.377 0.880 0.000
Co3 0.623 0.623 0.503
Co4 0.880 0.377 0.000
Bi1 0.000 0.500 0.500
Bi2 0.500 0.000 0.500
Sb1 0.256 0.256 0.000
Sb2 0.744 0.744 0.000

Summary:
Space group ... No. 121
Total DFT energy (no corrections) ... -6.7037 eV/atom

***

7.
A relaxed structure of Sc2CoBi, computed with GGA-PBE.

Unit cell a=4.768 b=4.768 c=4.768 alpha=60.00 beta=60.00 gamma=60.00
Element x y z (fractional)
Sc1 0.000 0.000 0.000
Sc2 0.250 0.250 0.250
Co1 0.750 0.750 0.750
Bi1 0.500 0.500 0.500

Summary:
Space group ... No. 216
Total DFT energy (no corrections) ... -5.8906 eV/atom

***

8.
A relaxed structure of ScCoTcBi, computed with GGA-PBE.

Unit cell a=4.562 b=4.562 c=4.562 alpha=60.00 beta=60.00 gamma=60.00
Element x y z (fractional)
Sc1 0.000 0.000 0.000
Co1 0.750 0.750 0.750
Tc1 0.250 0.250 0.250
Bi1 0.500 0.500 0.500

Summary:
ΔE to the lowest computed polymorph ... 0.0 meV per atom
Space group ... No. 216

***

For reference, size of the total moment by record: 0.97, 0.00, 1.01, 0.13, 1.48, 2.46, 1.83, 0.00 μB per formula unit.